(1)
Computed, not measured: an optimized crystal structure of Ac8Tl2In at the PBE level of DFT.

Cell: 5.732 7.644 10.793 Å, 103.01 105.40 90.00°
Sites, in units of the cell vectors:
Ac: 0.340 0.022 0.679
Ac: 0.591 0.464 0.182
Ac: 0.205 0.321 0.409
Ac: 0.409 0.536 0.818
Ac: 0.982 0.233 0.963
Ac: 0.018 0.767 0.037
Ac: 0.660 0.978 0.321
Ac: 0.795 0.679 0.591
Tl: 0.183 0.748 0.367
Tl: 0.817 0.252 0.633
In: 0.500 0.000 0.000

Values from the calculation:
- E above lowest polymorph (eV/atom) = 0.000
- formation energy (kJ/mol of formula units) = -170

---

(2)
Computed, not measured: an optimized crystal structure of Nd2Be3AlPt4 at the PBE level of DFT.

Cell: 4.105 4.105 10.014 Å, 90.00 90.00 90.00°
Sites, in units of the cell vectors:
Nd: 0.500 0.000 0.242
Nd: 0.000 0.500 0.758
Be: 0.000 0.500 0.117
Be: 0.500 0.000 0.883
Be: 0.000 0.000 0.500
Pt: 0.500 0.000 0.639
Pt: 0.000 0.500 0.361
Pt: 0.000 0.000 0.000
Pt: 0.500 0.500 0.000
Al: 0.500 0.500 0.500

Values from the calculation:
- formation energy (kJ/mol of formula units) = -884

---

(3)
Computed, not measured: an optimized crystal structure of Ho2ZrHg3 at the PBE level of DFT.

Cell: 3.666 3.666 10.764 Å, 90.00 90.00 90.00°
Site moments in Bohr magnetons follow the coordinates.
Sites, in units of the cell vectors:
Ho: 0.500 0.500 0.827  0.04
Ho: 0.500 0.500 0.173  0.04
Zr: 0.500 0.500 0.500  0.10
Hg: 0.000 0.000 0.344  0.00
Hg: 0.000 0.000 0.000  0.01
Hg: 0.000 0.000 0.656  0.00

Values from the calculation:
- formation energy (kJ/mol of formula units) = -198

---

(4)
Computed, not measured: an optimized crystal structure of HgBiMoPb2 at the PBE level of DFT.

Cell: 6.091 5.390 6.091 Å, 90.00 90.00 90.00°
Site moments in Bohr magnetons follow the coordinates.
Sites, in units of the cell vectors:
Mo: 0.000 0.500 0.000  3.06
Hg: 0.500 0.500 0.500  0.02
Pb: 0.000 0.000 0.500  -0.05
Pb: 0.500 0.000 0.000  -0.09
Bi: 0.000 0.000 0.000  -0.07

Values from the calculation:
- formation energy (kJ/mol of formula units) = 563

---

(5)
Computed, not measured: an optimized crystal structure of Ti2HW at the PBE level of DFT.

Cell: 3.064 3.064 6.657 Å, 76.70 76.70 60.00°
Sites, in units of the cell vectors:
W: 0.000 0.000 0.000
Ti: 0.230 0.230 0.310
Ti: 0.770 0.770 0.690
H: 0.500 0.500 0.500

Values from the calculation:
- E above lowest polymorph (eV/atom) = 0.000

---

(6)
Computed, not measured: an optimized crystal structure of Mn2GeN at the PBE level of DFT.

Cell: 5.289 2.705 3.362 Å, 90.00 90.00 90.00°
Site moments in Bohr magnetons follow the coordinates.
Sites, in units of the cell vectors:
Mn: 0.761 0.500 0.000  1.17
Mn: 0.239 0.500 0.000  1.17
N: 0.000 0.000 0.000  -0.11
Ge: 0.500 0.000 0.500  -0.09

Values from the calculation:
- E_form (uncorrected) (eV/atom) = -0.0532

---

(7)
Computed, not measured: an optimized crystal structure of SrYBi3 at the PBE level of DFT.

Cell: 5.896 5.896 5.896 Å, 90.00 90.00 90.00°
Sites, in units of the cell vectors:
Sr: 0.500 0.500 0.500
Bi: 0.000 0.000 0.500
Bi: 0.500 0.000 0.000
Bi: 0.000 0.500 0.000
Y: 0.000 0.000 0.000

Values from the calculation:
- E above lowest polymorph (eV/atom) = 0.000
- formation energy (kJ/mol of formula units) = -115

---

(8)
Computed, not measured: an optimized crystal structure of LaAg9Hg2 at the PBE level of DFT.

Cell: 5.733 5.733 9.507 Å, 72.45 72.45 60.00°
Sites, in units of the cell vectors:
Ag: 0.666 0.666 0.002
Ag: 0.080 0.588 0.743
Ag: 0.412 0.920 0.257
Ag: 0.334 0.334 0.998
Ag: 0.588 0.588 0.743
Ag: 0.588 0.080 0.743
Ag: 0.412 0.412 0.257
Ag: 0.500 0.500 0.500
Ag: 0.920 0.412 0.257
La: 0.000 0.000 0.000
Hg: 0.862 0.862 0.414
Hg: 0.138 0.138 0.586

Values from the calculation:
- formation energy (kJ/mol of formula units) = -51